The following is a GGA-PBE calculation of TaSbO2 after structural relaxation, from the Open Quantum Materials Database.

## Properties
DFT total energy: -6.845 eV per atom
size of the total moment: 0.02 μB/f.u.

Cell: 3.121 3.121 6.258 Å, 90.00 90.00 90.00°
Space group P4/mmm (No. 123)
Symmetry-distinct sites (fractional):
Ta: 0.000 0.000 0.000 (multiplicity 1)
Sb: 0.500 0.500 0.500 (multiplicity 1)
O: 0.000 0.000 0.500 (multiplicity 1)
O: 0.500 0.500 0.000 (multiplicity 1)

---

The following is a GGA-PBE calculation of Tb3SbO7 after structural relaxation, from the Open Quantum Materials Database.

## Properties
DFT total energy: -7.763 eV per atom
size of the total moment: 0.00 μB/f.u.

Cell: 7.441 10.532 7.498 Å, 90.00 90.00 90.00°
Space group Cmcm (No. 63)
Symmetry-distinct sites (fractional):
Tb: 0.000 0.000 0.000 (multiplicity 4)
Tb: 0.234 0.266 0.250 (multiplicity 8)
Sb: 0.000 0.500 0.000 (multiplicity 4)
O: 0.000 0.131 0.750 (multiplicity 4)
O: 0.000 0.136 0.250 (multiplicity 4)
O: 0.000 0.430 0.250 (multiplicity 4)
O: 0.198 0.375 0.530 (multiplicity 16)

---

The following is a GGA-PBE calculation of Tb2Sb2O5 after structural relaxation, from the Open Quantum Materials Database.

## Properties
DFT total energy: -6.756 eV per atom
size of the total moment: 0.00 μB/f.u.

Cell: 3.828 3.828 9.459 Å, 90.00 90.00 90.00°
Space group P4/mmm (No. 123)
Symmetry-distinct sites (fractional):
Tb: 0.000 0.000 0.244 (multiplicity 2)
Sb: 0.500 0.500 0.000 (multiplicity 1)
Sb: 0.500 0.500 0.500 (multiplicity 1)
O: 0.000 0.000 0.000 (multiplicity 1)
O: 0.000 0.500 0.362 (multiplicity 4)

---

The following is a GGA-PBE calculation of Tb2Sb2O5 after structural relaxation, from the Open Quantum Materials Database.

## Properties
DFT total energy: -6.298 eV per atom
size of the total moment: 0.01 μB/f.u.

Cell: 4.015 4.015 8.113 Å, 90.00 90.00 90.00°
Space group P4/mmm (No. 123)
Symmetry-distinct sites (fractional):
Tb: 0.000 0.000 0.000 (multiplicity 1)
Tb: 0.000 0.000 0.500 (multiplicity 1)
Sb: 0.500 0.500 0.234 (multiplicity 2)
O: 0.000 0.500 0.307 (multiplicity 4)
O: 0.500 0.500 0.500 (multiplicity 1)